1.
DFT (GGA-PBE) results for a relaxed MgRe2Br crystal.

## Properties
Total DFT energy (no corrections): -6.104 eV per atom
Energy above the most stable polymorph in this dataset: 782 meV per atom
Space group: I4/mmm
D(E_F): 3.6 states/eV per cell
V: 81.51 Å³/f.u.
Formation energy from raw total energies: 937 meV/atom

abc: 6.7918 6.7918 6.7918
angles: 149.28 149.28 43.99
Closest atoms and distances in Å follow each position.
Element x y z (fractional)
Mg (0.0000, 0.0000, 0.0000)  4 Br 2.54
Re (0.2500, 0.7500, 0.5000)  4 Re 2.54
Re (0.7500, 0.2500, 0.5000)  4 Re 2.54
Br (0.5000, 0.5000, 0.0000)  4 Mg 2.54


2.
DFT (GGA-PBE) results for a relaxed CeTl15Pb4 crystal.

## Properties
Total DFT energy (no corrections): -2.839 eV per atom
Energy of formation: -0.53 eV per formula unit
Space group: P4/mmm
D(E_F): 13.9 states/eV per cell
V: 611.61 Å³/f.u.

abc: 5.1167 5.1167 23.3611
angles: 90.00 90.00 90.00
Closest atoms and distances in Å follow each position.
Element x y z (fractional)
Ce (0.0000, 0.0000, 0.0000)  12 Tl 3.41-3.62
Tl (0.0000, 0.5000, 0.0966)  2 Pb 3.30, 8 Tl 3.41-3.62, 2 Ce 3.41
Tl (0.0000, 0.5000, 0.2981)  8 Tl 3.44-3.62, 4 Pb 3.45-3.67
Tl (0.0000, 0.5000, 0.5000)  8 Tl 3.50-3.62, 4 Pb 3.51
Tl (0.0000, 0.5000, 0.7019)  8 Tl 3.44-3.62, 4 Pb 3.45-3.67
Tl (0.0000, 0.5000, 0.9034)  2 Pb 3.30, 8 Tl 3.41-3.62, 2 Ce 3.41
Tl (0.5000, 0.0000, 0.0966)  2 Pb 3.30, 8 Tl 3.41-3.62, 2 Ce 3.41
Tl (0.5000, 0.0000, 0.2981)  8 Tl 3.44-3.62, 4 Pb 3.45-3.67
Tl (0.5000, 0.0000, 0.5000)  8 Tl 3.50-3.62, 4 Pb 3.51
Tl (0.5000, 0.0000, 0.7019)  8 Tl 3.44-3.62, 4 Pb 3.45-3.67
Tl (0.5000, 0.0000, 0.9034)  2 Pb 3.30, 8 Tl 3.41-3.62, 2 Ce 3.41
Tl (0.5000, 0.5000, 0.0000)  8 Tl 3.41, 4 Ce 3.62
Tl (0.5000, 0.5000, 0.1995)  8 Tl 3.44-3.51, 4 Pb 3.63
Tl (0.5000, 0.5000, 0.3978)  8 Tl 3.46-3.50, 4 Pb 3.62
Tl (0.5000, 0.5000, 0.6022)  8 Tl 3.46-3.50, 4 Pb 3.62
Tl (0.5000, 0.5000, 0.8005)  8 Tl 3.44-3.51, 4 Pb 3.63
Pb (0.0000, 0.0000, 0.1856)  12 Tl 3.30-3.67
Pb (0.0000, 0.0000, 0.3974)  12 Tl 3.45-3.62
Pb (0.0000, 0.0000, 0.6026)  12 Tl 3.45-3.62
Pb (0.0000, 0.0000, 0.8144)  12 Tl 3.30-3.67


3.
DFT (GGA-PBE) results for a relaxed ScU2Tc4Ge crystal.

## Properties
Total DFT energy (no corrections): -9.387 eV per atom
Energy of formation: -0.11 eV per formula unit
Space group: Cmcm
D(E_F): 22.1 states/eV per cell
V: 147.93 Å³/f.u.

abc: 5.4704 5.4704 13.6349
angles: 90.00 90.00 133.52
Closest atoms and distances in Å follow each position.
Element x y z (fractional)
Sc (0.1140, 0.8860, 0.7500)  6 Tc 2.82-2.98, 3 Ge 2.90-3.09
Sc (0.8860, 0.1140, 0.2500)  6 Tc 2.82-2.98, 3 Ge 2.90-3.09
U (0.3465, 0.6535, 0.5725)  2 Tc 2.36-2.57
U (0.3465, 0.6535, 0.9275)  2 Tc 2.36-2.57
U (0.6535, 0.3465, 0.0725)  2 Tc 2.36-2.57
U (0.6535, 0.3465, 0.4275)  2 Tc 2.36-2.57
Tc (0.0000, 0.0000, 0.0000)  4 U 2.83, 4 Tc 2.91
Tc (0.0000, 0.0000, 0.5000)  4 U 2.83, 4 Tc 2.91
Tc (0.3613, 0.6387, 0.1001)  1 U 2.36
Tc (0.3613, 0.6387, 0.3999)  1 U 2.36
Tc (0.4329, 0.5671, 0.7500)  2 Ge 2.51, 2 U 2.57
Tc (0.5671, 0.4329, 0.2500)  2 Ge 2.51, 2 U 2.57
Tc (0.6387, 0.3613, 0.6001)  1 U 2.36
Tc (0.6387, 0.3613, 0.8999)  1 U 2.36
Ge (0.1936, 0.8064, 0.2500)  4 Tc 2.51-2.65
Ge (0.8064, 0.1936, 0.7500)  4 Tc 2.51-2.65


no.,theoretical density (g/cm3)
1,9.7
2,11.0
3,11.1